No. 1
Compound: La4MgCd5
Source: Alexandria
Functional: PBE
Structure: relaxed

```
La4MgCd5
1.0
3.857 0.000 0.000
0.000 3.857 0.000
0.000 0.000 19.389
La Mg Cd
4 1 5
Cartesian
0.000 0.000 15.741 La
0.000 0.000 3.648 La
0.000 0.000 7.668 La
0.000 0.000 11.721 La
0.000 0.000 0.000 Mg
1.928 1.928 1.583 Cd
1.928 1.928 9.695 Cd
1.928 1.928 5.672 Cd
1.928 1.928 13.718 Cd
1.928 1.928 17.806 Cd
```

Calculated values
**Uncorrected energy**: -2.8740 eV per atom
**Symmetry**: P4/mmm (123)

***

No. 2
Compound: Ti3GaTe
Source: Alexandria
Functional: PBE
Structure: relaxed

```
Ti3GaTe
1.0
-3.442 3.028 -1.256
-2.087 -0.620 4.226
2.528 3.611 1.778
Ti Te Ga
3 1 1
Cartesian
1.264 1.806 0.889 Ti
-1.721 1.514 -0.628 Ti
-1.043 -0.310 2.113 Ti
-1.501 3.010 2.374 Te
0.000 0.000 0.000 Ga
```

Calculated values
**Uncorrected energy**: -5.6012 eV per atom
**ΔE_f (raw)**: 0.369 eV per atom
**Relative energy among the computed polymorphs**: 0.000 eV per atom
**Symmetry**: Pm-3m (221)

***

No. 3
Compound: HoZn4Au4
Source: Alexandria
Functional: PBE
Structure: relaxed

```
HoZn4Au4
1.0
-4.142 -0.359 2.392
2.825 -6.885 3.859
3.145 4.742 6.156
Zn Au Ho
8 8 2
Cartesian
-1.075 -1.143 2.771 Zn
1.990 -0.108 3.433 Zn
0.709 2.706 6.447 Zn
-0.792 0.426 8.306 Zn
2.908 -1.358 9.635 Zn
-1.518 -3.287 6.492 Zn
3.977 -2.036 6.585 Zn
1.115 -5.208 5.963 Zn
-2.937 -2.376 4.172 Au
2.115 -3.268 7.986 Au
2.270 2.604 4.326 Au
-0.291 0.766 4.425 Au
1.789 0.887 8.035 Au
0.043 -3.389 4.371 Au
0.627 -0.485 10.626 Au
3.696 -4.747 5.692 Au
0.000 0.000 0.000 Ho
0.914 -1.251 6.204 Ho
```

Calculated values
**Uncorrected energy**: -2.8218 eV per atom
**Symmetry**: I4/m (87)

***

No. 4
Compound: TcNCl2
Source: Alexandria
Functional: PBE
Structure: relaxed

```
TcNCl2
1.0
-4.214 -0.638 10.143
-4.047 -3.633 9.564
-1.613 -2.153 10.669
Tc N Cl
1 1 2
Cartesian
0.000 0.000 0.000 Tc
-4.937 -3.212 15.188 N
-9.204 -5.988 28.317 Cl
-0.669 -0.436 2.059 Cl
```

Calculated values
**Uncorrected energy**: -4.2221 eV per atom
**ΔE_f (raw)**: 1.374 eV per atom
**Relative energy among the computed polymorphs**: 0.012 eV per atom
**Symmetry**: R-3m (166)

***

No. 5
Compound: TbPm
Source: Alexandria
Functional: PBE
Structure: relaxed

```
TbPm
1.0
-4.286 1.690 0.029
-2.480 -0.074 3.882
-0.912 3.929 2.226
Tb Pm
1 1
Cartesian
-3.839 2.772 3.069 Tb
0.000 0.000 0.000 Pm
```

Calculated values
**Uncorrected energy**: -3.9929 eV per atom
**Relative energy among the computed polymorphs**: 0.684 eV per atom
**Symmetry**: Fm-3m (225)

***

No. 6
Compound: Tm2Zn3Cu2
Source: Alexandria
Functional: PBE
Structure: relaxed

```
Tm2Zn3Cu2
1.0
3.394 0.000 0.000
0.000 4.127 0.000
0.000 -2.063 9.337
Zn Cu Tm
3 2 2
Cartesian
1.697 2.063 1.307 Zn
0.000 0.000 0.000 Zn
1.697 0.000 8.030 Zn
1.697 0.000 5.390 Cu
1.697 2.063 3.948 Cu
0.000 2.063 6.314 Tm
0.000 0.000 3.023 Tm
```

Calculated values
**Uncorrected energy**: -3.1837 eV per atom
**Relative energy among the computed polymorphs**: 0.130 eV per atom
**Symmetry**: Cmmm (65)

***

No. 7
Compound: AcIn2As
Source: Alexandria
Functional: PBE
Structure: relaxed

```
AcIn2As
1.0
5.372 0.000 0.000
0.000 4.567 0.000
0.000 0.000 4.567
As In Ac
1 2 1
Cartesian
2.686 0.000 0.000 As
0.000 0.000 2.284 In
0.000 2.284 0.000 In
2.686 2.284 2.284 Ac
```

Calculated values
**Uncorrected energy**: -4.0985 eV per atom
**Relative energy among the computed polymorphs**: 0.000 eV per atom
**Symmetry**: P4/mmm (123)

***

No. 8
Compound: LiPaPO5
Source: Alexandria
Functional: PBE
Structure: relaxed

```
LiPaPO5
1.0
5.804 0.780 -0.143
-0.948 5.779 -0.143
-2.174 -2.936 7.188
O P Pa Li
10 2 2 2
Cartesian
3.496 -0.920 5.248 O
1.384 1.609 1.024 O
3.890 1.877 0.568 O
-0.427 2.801 4.162 O
2.635 3.298 2.285 O
3.109 0.823 2.740 O
0.048 0.325 4.618 O
-1.208 1.746 6.334 O
-0.813 4.543 1.654 O
1.298 2.015 5.879 O
-0.103 1.745 5.248 P
2.786 1.879 1.654 P
0.000 0.000 0.000 Pa
-1.087 -1.468 3.594 Pa
1.963 0.215 5.248 Li
0.719 3.408 1.654 Li
```

Calculated values
**Uncorrected energy**: -7.9381 eV per atom
**ΔE_f (raw)**: -2.737 eV per atom
**Symmetry**: C2/c (15)

***

no.,V (Å³/atom)
1,28.842
2,21.481
3,18.728
4,21.955
5,34.575
6,18.682
7,28.018
8,15.127